P) A plane-wave DFT calculation with PBE-GGA was carried out for a relaxed structure of K2RbCd.

Properties
- SG = I-42d (122)
- crystal system = tetragonal

Cell: 5.7953 5.7953 14.7047 Å, 78.64 78.64 90.00°
Last column: nearest neighbours and their distance in Å.
Sites, in units of the cell vectors:
K: 0.6527 0.1250 0.2500  4 K 3.88-4.33, 2 Cd 4.03, 2 Rb 4.14
K: 0.0973 0.6250 0.2500  4 K 3.88-4.33, 2 Cd 4.03, 2 Rb 4.14
K: 0.3750 0.3473 0.7500  4 K 3.88-4.33, 2 Cd 4.03, 2 Rb 4.14
K: 0.8750 0.9027 0.7500  4 K 3.88-4.33, 2 Cd 4.03, 2 Rb 4.14
Rb: 0.5000 0.5000 0.0000  4 Cd 4.10, 4 K 4.14
Rb: 0.2500 0.7500 0.5000  4 Cd 4.10, 4 K 4.14
Cd: 0.0000 0.0000 0.0000  4 K 4.03, 4 Rb 4.10
Cd: 0.7500 0.2500 0.5000  4 K 4.03, 4 Rb 4.10



Q) A plane-wave DFT calculation with PBE-GGA was carried out for a relaxed structure of K2RbCd.

Properties
- SG = P2_1/c (14)
- crystal system = monoclinic

Cell: 8.4535 11.1194 11.8209 Å, 118.23 90.00 90.00°
Last column: nearest neighbours and their distance in Å.
Sites, in units of the cell vectors:
K: 0.7556 0.0749 0.1425  2 Cd 4.03-4.06, 2 Rb 4.32-4.34, 2 K 4.49
K: 0.2556 0.4251 0.8575  2 Cd 4.03-4.06, 2 Rb 4.32-4.34, 2 K 4.49
K: 0.2444 0.9251 0.8575  2 Cd 4.03-4.06, 2 Rb 4.32-4.34, 2 K 4.49
K: 0.7444 0.5749 0.1425  2 Cd 4.03-4.06, 2 Rb 4.32-4.34, 2 K 4.49
K: 0.7064 0.6561 0.8061  1 Cd 3.66
K: 0.2064 0.8439 0.1939  1 Cd 3.66
K: 0.2936 0.3439 0.1939  1 Cd 3.66
K: 0.7936 0.1561 0.8061  1 Cd 3.66
Rb: 0.4972 0.1883 0.4943  4 Cd 3.74-3.86
Rb: 0.9972 0.3117 0.5057  4 Cd 3.74-3.86
Rb: 0.5028 0.8117 0.5057  4 Cd 3.74-3.86
Rb: 0.0028 0.6883 0.4943  4 Cd 3.74-3.86
Cd: 0.6363 0.4556 0.4090  1 Cd 2.98
Cd: 0.1363 0.0444 0.5910  1 Cd 2.98
Cd: 0.3637 0.5444 0.5910  1 Cd 2.98
Cd: 0.8637 0.9556 0.4090  1 Cd 2.98



Name the least stable of them. P).